Material: CaZn8Pd3
Method: DFT, GGA-PBE
State: optimized geometry

## Properties
As for the calculated formation energy: -6.89 kcal/mol of atoms. The density of states at the Fermi level comes out at 5.0 states/eV/cell. The total magnetic moment is 0.00 Bohr magnetons per cell.

Unit cell a=5.0993 b=5.0993 c=8.2713 alpha=90.00 beta=90.00 gamma=120.00
Atoms (fractional coordinates):
Ca: 0.0000 0.0000 0.5610
Zn: 0.3333 0.6667 0.4968
Zn: 0.3333 0.6667 0.0009
Zn: 0.5053 0.0106 0.7636
Zn: 0.5053 0.4947 0.7636
Zn: 0.9894 0.4947 0.7636
Zn: 0.1623 0.3247 0.2386
Zn: 0.1623 0.8377 0.2386
Zn: 0.6753 0.8377 0.2386
Pd: 0.6667 0.3333 0.4417
Pd: 0.6667 0.3333 0.0666
Pd: 0.0000 0.0000 0.9265

Material: CaZn3Pd
Method: DFT, GGA-PBE
State: optimized geometry

## Properties
As for the calculated formation energy: -8.65 kcal/mol of atoms. The density of states at the Fermi level comes out at 4.4 states/eV/cell. The total magnetic moment is 0.00 Bohr magnetons per cell.

Unit cell a=5.4849 b=5.7199 c=6.6990 alpha=115.27 beta=90.00 gamma=90.00
Atoms (fractional coordinates):
Ca: 0.2500 0.3971 0.7943
Ca: 0.7500 0.6029 0.2057
Zn: 0.2500 0.8131 0.6262
Zn: 0.7500 0.1869 0.3738
Zn: 0.2500 0.3841 0.2889
Zn: 0.7500 0.6159 0.7111
Zn: 0.2500 0.9049 0.2889
Zn: 0.7500 0.0951 0.7111
Pd: 0.0000 0.0000 0.0000
Pd: 0.5000 0.0000 0.0000

Material: Ca2Zn7Pd
Method: DFT, GGA-PBE
State: optimized geometry

## Properties
As for the calculated formation energy: -7.01 kcal/mol of atoms. The density of states at the Fermi level comes out at 3.2 states/eV/cell. The total magnetic moment is 0.00 Bohr magnetons per cell.

Unit cell a=4.0670 b=4.0670 c=11.4672 alpha=90.00 beta=90.00 gamma=90.00
Atoms (fractional coordinates):
Ca: 0.5000 0.0000 0.7485
Ca: 0.0000 0.5000 0.2515
Zn: 0.0000 0.5000 0.8592
Zn: 0.5000 0.0000 0.3595
Zn: 0.5000 0.0000 0.1408
Zn: 0.0000 0.5000 0.6405
Zn: 0.0000 0.0000 0.5000
Zn: 0.0000 0.0000 0.0000
Zn: 0.5000 0.5000 0.5000
Pd: 0.5000 0.5000 0.0000

Material: Ca2Zn5Pd5
Method: DFT, GGA-PBE
State: optimized geometry

## Properties
As for the calculated formation energy: -13.73 kcal/mol of atoms. The density of states at the Fermi level comes out at 4.7 states/eV/cell. The total magnetic moment is 0.00 Bohr magnetons per cell.

Unit cell a=4.3002 b=5.3324 c=9.3739 alpha=90.00 beta=90.00 gamma=90.00
Atoms (fractional coordinates):
Ca: 0.0000 0.5000 0.0000
Ca: 0.0000 0.0000 0.5000
Zn: 0.5000 0.5000 0.5000
Zn: 0.5000 0.7500 0.2469
Zn: 0.5000 0.2500 0.7531
Zn: 0.5000 0.2500 0.2469
Zn: 0.5000 0.7500 0.7531
Pd: 0.0000 0.5000 0.3338
Pd: 0.0000 0.0000 0.8170
Pd: 0.0000 0.0000 0.1830
Pd: 0.0000 0.5000 0.6662
Pd: 0.5000 0.0000 0.0000

Material: Ca3Zn6Pd5
Method: DFT, GGA-PBE
State: optimized geometry

## Properties
As for the calculated formation energy: -13.09 kcal/mol of atoms. The density of states at the Fermi level comes out at 11.7 states/eV/cell. The total magnetic moment is 0.00 Bohr magnetons per cell.

Unit cell a=4.3114 b=9.5187 c=12.6630 alpha=90.00 beta=90.00 gamma=90.00
Atoms (fractional coordinates):
Ca: 0.0000 0.2483 0.6925
Ca: 0.5000 0.7517 0.1925
Ca: 0.5000 0.7517 0.8075
Ca: 0.0000 0.2583 0.0000
Ca: 0.5000 0.7417 0.5000
Ca: 0.0000 0.2483 0.3075
Zn: 0.0000 0.9814 0.8524
Zn: 0.5000 0.0186 0.6476
Zn: 0.5000 0.4079 0.8199
Zn: 0.5000 0.5626 0.0000
Zn: 0.0000 0.4374 0.5000
Zn: 0.0000 0.5921 0.6801
Zn: 0.0000 0.5921 0.3199
Zn: 0.5000 0.9632 0.0000
Zn: 0.0000 0.9814 0.1476
Zn: 0.5000 0.4079 0.1801
Zn: 0.0000 0.0368 0.5000
Zn: 0.5000 0.0186 0.3524
Pd: 0.0000 0.5356 0.8838
Pd: 0.0000 0.8668 0.6611
Pd: 0.0000 0.7885 0.0000
Pd: 0.5000 0.4644 0.6162
Pd: 0.5000 0.2115 0.5000
Pd: 0.0000 0.5356 0.1162
Pd: 0.5000 0.4644 0.3838
Pd: 0.0000 0.8668 0.3389
Pd: 0.5000 0.1332 0.8389
Pd: 0.5000 0.1332 0.1611

Material: Ca2Zn2Pd3
Method: DFT, GGA-PBE
State: optimized geometry

## Properties
As for the calculated formation energy: -13.74 kcal/mol of atoms. The density of states at the Fermi level comes out at 2.5 states/eV/cell. The total magnetic moment is 0.00 Bohr magnetons per cell.

Unit cell a=4.1896 b=5.6086 c=6.9494 alpha=113.04 beta=90.00 gamma=111.93
Atoms (fractional coordinates):
Ca: 0.8564 0.7127 0.2424
Ca: 0.1436 0.2873 0.7576
Zn: 0.8652 0.7304 0.7755
Zn: 0.1348 0.2696 0.2245
Pd: 0.5000 0.0000 0.0000
Pd: 0.6213 0.2426 0.4426
Pd: 0.3787 0.7574 0.5574